Pr4AgRu: relaxed, PBE.

Output
formation energy	-0.20	eV per atom
total magnetization	0.000	μB/atom
distance to the lowest polymorph of the same formula	0.000	eV/atom
D(E_F)	0.975	states/eV per atom

a b c (Å): 9.9248 9.9248 9.9248
angles (deg): 60.00 60.00 60.00
Last column: nearest neighbours and their distance in Å.
Element x y z (fractional)
Pr 0.5592 0.9408 0.9408  2 Ru 2.84
Pr 0.4023 0.7932 0.4023  3 Ru 2.95
Pr 0.4023 0.4023 0.4023  3 Ru 2.95
Pr 0.9408 0.5592 0.9408  2 Ru 2.84
Pr 0.5592 0.9408 0.5592  2 Ru 2.84
Pr 0.8109 0.8109 0.1891  2 Ag 3.38, 10 Pr 3.57-3.75, 2 Ru 3.57
Pr 0.8109 0.1891 0.8109  2 Ag 3.38, 10 Pr 3.57-3.75, 2 Ru 3.57
Pr 0.5592 0.5592 0.9408  2 Ru 2.84
Pr 0.9408 0.5592 0.5592  2 Ru 2.84
Pr 0.4023 0.4023 0.7932  3 Ru 2.95
Pr 0.9408 0.9408 0.5592  2 Ru 2.84
Pr 0.1891 0.8109 0.8109  2 Ag 3.38, 10 Pr 3.57-3.75, 2 Ru 3.57
Pr 0.7932 0.4023 0.4023  3 Ru 2.95
Pr 0.1891 0.8109 0.1891  2 Ag 3.38, 10 Pr 3.57-3.75, 2 Ru 3.57
Pr 0.1891 0.1891 0.8109  2 Ag 3.38, 10 Pr 3.57-3.75, 2 Ru 3.57
Pr 0.8109 0.1891 0.1891  2 Ag 3.38, 10 Pr 3.57-3.75, 2 Ru 3.57
Ru 0.6118 0.6118 0.6118  6 Pr 2.84-2.95
Ru 0.6118 0.1646 0.6118  6 Pr 2.84-2.95
Ru 0.1646 0.6118 0.6118  6 Pr 2.84-2.95
Ru 0.6118 0.6118 0.1646  6 Pr 2.84-2.95
Ag 0.1697 0.1697 0.4908  3 Ag 3.19, 6 Pr 3.38-3.56
Ag 0.1697 0.1697 0.1697  3 Ag 3.19, 6 Pr 3.38-3.56
Ag 0.1697 0.4908 0.1697  3 Ag 3.19, 6 Pr 3.38-3.56
Ag 0.4908 0.1697 0.1697  3 Ag 3.19, 6 Pr 3.38-3.56